Compound: CrAg3F6
Source: Alexandria via LeMat-Bulk
Functional: PBE with a Hubbard U
Structure: optimized geometry

Unit cell a=6.676 b=6.399 c=5.523 alpha=67.65 beta=62.43 gamma=49.92
Element x y z (fractional)
Cr: 0.000 0.000 0.000
Ag: 0.250 0.250 0.250
Ag: 0.500 0.500 0.500
Ag: 0.750 0.750 0.750
F: 0.058 0.679 0.942
F: 0.233 0.767 0.233
F: 0.321 0.942 0.679
F: 0.679 0.058 0.321
F: 0.767 0.233 0.767
F: 0.942 0.321 0.058

- space group = No. 69
- total magnetization (μB per cell) = 2.960
- calculated total energy (eV/atom) = -4.4050